#one
# B11C | the Alexandria database | PBE | relaxed
data_B11C
_cell_length_a 2.8588
_cell_length_b 2.8588
_cell_length_c 12.2966
_cell_angle_alpha 90.00
_cell_angle_beta 90.00
_cell_angle_gamma 120.00
_symmetry_space_group_name_H-M 'P 3 m 1'
_symmetry_Int_Tables_number 156
_symmetry_space_group_name_Hall 'P 3 -2"'
loop_
_atom_site_label
_atom_site_type_symbol
_atom_site_fract_x
_atom_site_fract_y
_atom_site_fract_z
_atom_site_occupancy
B1 B 0.0000 0.0000 0.0000 1
B2 B 0.0000 0.0000 0.1325 1
B3 B 0.0000 0.0000 0.5510 1
B4 B 0.0000 0.0000 0.6952 1
B5 B 0.3333 0.6667 0.0995 1
B6 B 0.3333 0.6667 0.3369 1
B7 B 0.3333 0.6667 0.5816 1
B8 B 0.3333 0.6667 0.7334 1
B9 B 0.6667 0.3333 0.4853 1
B10 B 0.6667 0.3333 0.7887 1
B11 B 0.6667 0.3333 0.9267 1
C1 C 0.6667 0.3333 0.3560 1
# D(E_F), states/eV per atom: 0.1269

=====

#two
# B11C | the Alexandria database | PBE | relaxed
data_B11C
_cell_length_a 1.941
_cell_length_b 8.432
_cell_length_c 5.038
_cell_angle_alpha 90.00
_cell_angle_beta 90.00
_cell_angle_gamma 90.00
_symmetry_space_group_name_H-M 'P m m 2'
_symmetry_Int_Tables_number 25
_symmetry_space_group_name_Hall 'P 2 -2'
loop_
_atom_site_label
_atom_site_type_symbol
_atom_site_fract_x
_atom_site_fract_y
_atom_site_fract_z
_atom_site_occupancy
B1 B 0.000 0.000 0.000 1
B2 B 0.000 0.159 0.235 1
B3 B 0.000 0.330 0.030 1
B4 B 0.000 0.500 0.239 1
B5 B 0.500 0.158 0.536 1
B6 B 0.500 0.333 0.736 1
B7 B 0.500 0.500 0.530 1
C1 C 0.500 0.000 0.726 1
# D(E_F), states/eV per atom: 0.1586

=====

From most stable to least stable, the computed energies give #two, #one.

=====

#one
# B11C | the Alexandria database | PBE | relaxed
data_B11C
_cell_length_a 11.379
_cell_length_b 2.769
_cell_length_c 5.804
_cell_angle_alpha 90.00
_cell_angle_beta 105.55
_cell_angle_gamma 90.00
_symmetry_space_group_name_H-M 'C 1 m 1'
_symmetry_Int_Tables_number 8
_symmetry_space_group_name_Hall 'C -2y'
loop_
_atom_site_label
_atom_site_type_symbol
_atom_site_fract_x
_atom_site_fract_y
_atom_site_fract_z
_atom_site_occupancy
B1 B 0.000 0.000 0.000 1
B2 B 0.007 0.500 0.223 1
B3 B 0.033 0.000 0.697 1
B4 B 0.150 0.000 0.960 1
B5 B 0.183 0.000 0.633 1
B6 B 0.260 0.500 0.080 1
B7 B 0.324 0.500 0.409 1
B8 B 0.338 0.500 0.838 1
B9 B 0.351 0.000 0.256 1
B10 B 0.394 0.000 0.992 1
B11 B 0.482 0.000 0.501 1
C1 C 0.243 0.500 0.585 1
# D(E_F), states/eV per atom: 0.0833

=====

#two
# B11C | the Alexandria database | PBE | relaxed
data_B11C
_cell_length_a 5.162
_cell_length_b 9.798
_cell_length_c 3.221
_cell_angle_alpha 90.00
_cell_angle_beta 90.00
_cell_angle_gamma 90.00
_symmetry_space_group_name_H-M 'C 2 2 2'
_symmetry_Int_Tables_number 21
_symmetry_space_group_name_Hall 'C 2 2'
loop_
_atom_site_label
_atom_site_type_symbol
_atom_site_fract_x
_atom_site_fract_y
_atom_site_fract_z
_atom_site_occupancy
B1 B 0.000 0.000 0.000 1
B2 B 0.000 0.161 0.500 1
B3 B 0.000 0.316 0.000 1
B4 B 0.233 0.418 0.752 1
B5 B 0.250 0.250 0.264 1
C1 C 0.000 0.500 0.500 1
# D(E_F), states/eV per atom: 0.1928

=====

From most stable to least stable, the computed energies give #one, #two.

=====

#one
# B11C | the Alexandria database | PBE | relaxed
data_B11C
_cell_length_a 8.760
_cell_length_b 2.302
_cell_length_c 9.021
_cell_angle_alpha 90.00
_cell_angle_beta 116.19
_cell_angle_gamma 90.00
_symmetry_space_group_name_H-M 'C 1 m 1'
_symmetry_Int_Tables_number 8
_symmetry_space_group_name_Hall 'C -2y'
loop_
_atom_site_label
_atom_site_type_symbol
_atom_site_fract_x
_atom_site_fract_y
_atom_site_fract_z
_atom_site_occupancy
B1 B 0.000 0.000 0.000 1
B2 B 0.018 0.000 0.700 1
B3 B 0.099 0.500 0.319 1
B4 B 0.157 0.000 0.204 1
B5 B 0.188 0.500 0.830 1
B6 B 0.210 0.500 0.530 1
B7 B 0.240 0.000 0.696 1
B8 B 0.309 0.000 0.130 1
B9 B 0.390 0.500 0.490 1
B10 B 0.412 0.000 0.350 1
B11 B 0.466 0.000 0.830 1
C1 C 0.323 0.500 0.014 1
# D(E_F), states/eV per atom: 0.1150

=====

#two
# B11C | the Alexandria database | PBE | relaxed
data_B11C
_cell_length_a 2.301
_cell_length_b 2.301
_cell_length_c 15.519
_cell_angle_alpha 90.00
_cell_angle_beta 90.00
_cell_angle_gamma 90.00
_symmetry_space_group_name_H-M 'P -4 m 2'
_symmetry_Int_Tables_number 115
_symmetry_space_group_name_Hall 'P -4 -2'
loop_
_atom_site_label
_atom_site_type_symbol
_atom_site_fract_x
_atom_site_fract_y
_atom_site_fract_z
_atom_site_occupancy
B1 B 0.000 0.000 0.000 1
B2 B 0.000 0.000 0.343 1
B3 B 0.000 0.500 0.257 1
B4 B 0.000 0.500 0.571 1
B5 B 0.000 0.500 0.914 1
B6 B 0.500 0.500 0.171 1
C1 C 0.500 0.500 0.500 1
# D(E_F), states/eV per atom: 0.1098

=====

From most stable to least stable, the computed energies give #two, #one.

=====

#one
# B9C | the Alexandria database | PBE | relaxed
data_B9C
_cell_length_a 2.796
_cell_length_b 10.451
_cell_length_c 4.974
_cell_angle_alpha 90.00
_cell_angle_beta 90.00
_cell_angle_gamma 90.00
_symmetry_space_group_name_H-M 'I m m 2'
_symmetry_Int_Tables_number 44
_symmetry_space_group_name_Hall 'I 2 -2'
loop_
_atom_site_label
_atom_site_type_symbol
_atom_site_fract_x
_atom_site_fract_y
_atom_site_fract_z
_atom_site_occupancy
B1 B 0.000 0.000 0.000 1
B2 B 0.000 0.082 0.337 1
B3 B 0.000 0.206 0.532 1
B4 B 0.000 0.224 0.172 1
B5 B 0.000 0.390 0.114 1
C1 C 0.000 0.500 0.342 1
# D(E_F), states/eV per atom: 0.1642

=====

#two
# B9C | the Alexandria database | PBE | relaxed
data_B9C
_cell_length_a 8.674
_cell_length_b 2.365
_cell_length_c 7.191
_cell_angle_alpha 90.00
_cell_angle_beta 112.94
_cell_angle_gamma 90.00
_symmetry_space_group_name_H-M 'C 1 m 1'
_symmetry_Int_Tables_number 8
_symmetry_space_group_name_Hall 'C -2y'
loop_
_atom_site_label
_atom_site_type_symbol
_atom_site_fract_x
_atom_site_fract_y
_atom_site_fract_z
_atom_site_occupancy
B1 B 0.000 0.000 0.000 1
B2 B 0.004 0.500 0.618 1
B3 B 0.103 0.000 0.830 1
B4 B 0.109 0.500 0.212 1
B5 B 0.128 0.500 0.462 1
B6 B 0.280 0.500 0.999 1
B7 B 0.290 0.000 0.592 1
B8 B 0.333 0.000 0.846 1
B9 B 0.408 0.000 0.358 1
C1 C 0.297 0.500 0.220 1
# D(E_F), states/eV per atom: 0.1273

=====

From most stable to least stable, the computed energies give #one, #two.

=====

#one
# B9C | the Alexandria database | PBE | relaxed
data_B9C
_cell_length_a 2.311
_cell_length_b 2.311
_cell_length_c 25.700
_cell_angle_alpha 90.00
_cell_angle_beta 90.00
_cell_angle_gamma 90.00
_symmetry_space_group_name_H-M 'I -4 m 2'
_symmetry_Int_Tables_number 119
_symmetry_space_group_name_Hall 'I -4 -2'
loop_
_atom_site_label
_atom_site_type_symbol
_atom_site_fract_x
_atom_site_fract_y
_atom_site_fract_z
_atom_site_occupancy
B1 B 0.000 0.000 0.000 1
B2 B 0.000 0.000 0.208 1
B3 B 0.000 0.000 0.396 1
B4 B 0.000 0.500 0.155 1
B5 B 0.000 0.500 0.552 1
C1 C 0.000 0.500 0.750 1
# D(E_F), states/eV per atom: 0.2579

=====

#two
# B9C | the Alexandria database | PBE | relaxed
data_B9C
_cell_length_a 2.8872
_cell_length_b 2.8872
_cell_length_c 31.1022
_cell_angle_alpha 90.00
_cell_angle_beta 90.00
_cell_angle_gamma 120.00
_symmetry_space_group_name_H-M 'R 3 m'
_symmetry_Int_Tables_number 160
_symmetry_space_group_name_Hall 'R 3 -2"'
loop_
_atom_site_label
_atom_site_type_symbol
_atom_site_fract_x
_atom_site_fract_y
_atom_site_fract_z
_atom_site_occupancy
B1 B 0.0000 0.0000 0.0000 1
B2 B 0.0000 0.0000 0.0554 1
B3 B 0.0000 0.0000 0.2391 1
B4 B 0.0000 0.0000 0.2964 1
B5 B 0.0000 0.0000 0.3958 1
B6 B 0.0000 0.0000 0.4896 1
B7 B 0.0000 0.0000 0.5847 1
B8 B 0.0000 0.0000 0.6427 1
B9 B 0.0000 0.0000 0.8809 1
C1 C 0.0000 0.0000 0.8288 1
# D(E_F), states/eV per atom: 0.1437

=====

From most stable to least stable, the computed energies give #one, #two.

=====

#one
# B9C | the Alexandria database | PBE | relaxed
data_B9C
_cell_length_a 5.783
_cell_length_b 5.783
_cell_length_c 4.053
_cell_angle_alpha 90.00
_cell_angle_beta 90.00
_cell_angle_gamma 90.00
_symmetry_space_group_name_H-M 'I -4'
_symmetry_Int_Tables_number 82
_symmetry_space_group_name_Hall 'I -4'
loop_
_atom_site_label
_atom_site_type_symbol
_atom_site_fract_x
_atom_site_fract_y
_atom_site_fract_z
_atom_site_occupancy
B1 B 0.000 0.000 0.000 1
B2 B 0.061 0.151 0.342 1
B3 B 0.136 0.363 0.030 1
C1 C 0.000 0.500 0.750 1
# D(E_F), states/eV per atom: 0.1321

=====

#two
# B9C | the Alexandria database | PBE | relaxed
data_B9C
_cell_length_a 4.314
_cell_length_b 4.840
_cell_length_c 7.398
_cell_angle_alpha 84.87
_cell_angle_beta 81.10
_cell_angle_gamma 80.01
_symmetry_space_group_name_H-M 'P 1'
_symmetry_Int_Tables_number 1
_symmetry_space_group_name_Hall 'P 1'
loop_
_atom_site_label
_atom_site_type_symbol
_atom_site_fract_x
_atom_site_fract_y
_atom_site_fract_z
_atom_site_occupancy
B1 B 0.000 0.000 0.000 1
B2 B 0.000 0.753 0.194 1
B3 B 0.206 0.866 0.345 1
B4 B 0.258 0.444 0.734 1
B5 B 0.275 0.347 0.170 1
B6 B 0.301 0.212 0.961 1
B7 B 0.408 0.663 0.157 1
B8 B 0.413 0.847 0.935 1
B9 B 0.425 0.299 0.483 1
B10 B 0.572 0.619 0.357 1
B11 B 0.604 0.869 0.598 1
B12 B 0.642 0.212 0.654 1
B13 B 0.696 0.086 0.873 1
B14 B 0.778 0.702 0.017 1
B15 B 0.852 0.353 0.457 1
B16 B 0.853 0.512 0.662 1
B17 B 0.881 0.714 0.441 1
B18 B 0.941 0.384 0.907 1
C1 C 0.194 0.193 0.364 1
C2 C 0.439 0.696 0.750 1
# D(E_F), states/eV per atom: 0.1492

=====

From most stable to least stable, the computed energies give #two, #one.

=====

#one
# CaBC3 | the Alexandria database | PBE | relaxed
data_CaBC3
_cell_length_a 3.616
_cell_length_b 3.616
_cell_length_c 3.616
_cell_angle_alpha 90.00
_cell_angle_beta 90.00
_cell_angle_gamma 90.00
_symmetry_space_group_name_H-M 'P m -3 m'
_symmetry_Int_Tables_number 221
_symmetry_space_group_name_Hall '-P 4 2 3'
loop_
_atom_site_label
_atom_site_type_symbol
_atom_site_fract_x
_atom_site_fract_y
_atom_site_fract_z
_atom_site_occupancy
Ca1 Ca 0.000 0.000 0.000 1
B1 B 0.500 0.500 0.500 1
C1 C 0.000 0.500 0.500 1
# D(E_F), states/eV per atom: 0.3935

=====

#two
# CaBC3 | the Alexandria database | PBE | relaxed
data_CaBC3
_cell_length_a 4.512
_cell_length_b 4.512
_cell_length_c 4.512
_cell_angle_alpha 90.00
_cell_angle_beta 90.00
_cell_angle_gamma 90.00
_symmetry_space_group_name_H-M 'P m -3 m'
_symmetry_Int_Tables_number 221
_symmetry_space_group_name_Hall '-P 4 2 3'
loop_
_atom_site_label
_atom_site_type_symbol
_atom_site_fract_x
_atom_site_fract_y
_atom_site_fract_z
_atom_site_occupancy
Ca1 Ca 0.000 0.000 0.000 1
B1 B 0.500 0.500 0.500 1
C1 C 0.000 0.000 0.500 1
# D(E_F), states/eV per atom: 0.8670

=====

From most stable to least stable, the computed energies give #one, #two.

=====

#one
# CaB3C3 | the Alexandria database | PBE | relaxed
data_CaB3C3
_cell_length_a 4.793
_cell_length_b 4.793
_cell_length_c 4.793
_cell_angle_alpha 90.00
_cell_angle_beta 90.00
_cell_angle_gamma 90.00
_symmetry_space_group_name_H-M 'P m -3 n'
_symmetry_Int_Tables_number 223
_symmetry_space_group_name_Hall '-P 4n 2 3'
loop_
_atom_site_label
_atom_site_type_symbol
_atom_site_fract_x
_atom_site_fract_y
_atom_site_fract_z
_atom_site_occupancy
Ca1 Ca 0.000 0.000 0.000 1
B1 B 0.000 0.250 0.500 1
C1 C 0.000 0.500 0.250 1
# D(E_F), states/eV per atom: 0.1882

=====

#two
# CaB3C3 | the Alexandria database | PBE | relaxed
data_CaB3C3
_cell_length_a 5.6414
_cell_length_b 5.6414
_cell_length_c 6.0245
_cell_angle_alpha 90.00
_cell_angle_beta 90.00
_cell_angle_gamma 120.00
_symmetry_space_group_name_H-M 'P 63/m m c'
_symmetry_Int_Tables_number 194
_symmetry_space_group_name_Hall '-P 6c 2c'
loop_
_atom_site_label
_atom_site_type_symbol
_atom_site_fract_x
_atom_site_fract_y
_atom_site_fract_z
_atom_site_occupancy
Ca1 Ca 0.3333 0.6667 0.2500 1
B1 B 0.1575 0.3151 0.7500 1
C1 C 0.1337 0.5668 0.7500 1
# D(E_F), states/eV per atom: 0.2348

=====

From most stable to least stable, the computed energies give #one, #two.

=====

#one
# CdBC3 | the Alexandria database | PBE | relaxed
data_CdBC3
_cell_length_a 3.634
_cell_length_b 3.634
_cell_length_c 3.634
_cell_angle_alpha 90.00
_cell_angle_beta 90.00
_cell_angle_gamma 90.00
_symmetry_space_group_name_H-M 'P m -3 m'
_symmetry_Int_Tables_number 221
_symmetry_space_group_name_Hall '-P 4 2 3'
loop_
_atom_site_label
_atom_site_type_symbol
_atom_site_fract_x
_atom_site_fract_y
_atom_site_fract_z
_atom_site_occupancy
Cd1 Cd 0.000 0.000 0.000 1
B1 B 0.500 0.500 0.500 1
C1 C 0.000 0.500 0.500 1
# D(E_F), states/eV per atom: 0.4206

=====

#two
# CdBC3 | the Alexandria database | PBE | relaxed
data_CdBC3
_cell_length_a 4.294
_cell_length_b 4.294
_cell_length_c 4.294
_cell_angle_alpha 90.00
_cell_angle_beta 90.00
_cell_angle_gamma 90.00
_symmetry_space_group_name_H-M 'P m -3 m'
_symmetry_Int_Tables_number 221
_symmetry_space_group_name_Hall '-P 4 2 3'
loop_
_atom_site_label
_atom_site_type_symbol
_atom_site_fract_x
_atom_site_fract_y
_atom_site_fract_z
_atom_site_occupancy
Cd1 Cd 0.000 0.000 0.000 1
B1 B 0.500 0.500 0.500 1
C1 C 0.000 0.000 0.500 1
# D(E_F), states/eV per atom: 1.2494

=====

From most stable to least stable, the computed energies give #one, #two.

=====

#one
# CdB2C | the Alexandria database | PBE | relaxed
data_CdB2C
_cell_length_a 4.911
_cell_length_b 4.911
_cell_length_c 7.155
_cell_angle_alpha 90.00
_cell_angle_beta 90.00
_cell_angle_gamma 90.00
_symmetry_space_group_name_H-M 'I -4 2 d'
_symmetry_Int_Tables_number 122
_symmetry_space_group_name_Hall 'I -4 2bw'
loop_
_atom_site_label
_atom_site_type_symbol
_atom_site_fract_x
_atom_site_fract_y
_atom_site_fract_z
_atom_site_occupancy
Cd1 Cd 0.000 0.000 0.000 1
B1 B 0.116 0.250 0.625 1
C1 C 0.000 0.000 0.500 1
# D(E_F), states/eV per atom: 0.0063

=====

#two
# CdB2C | the Alexandria database | PBE | relaxed
data_CdB2C
_cell_length_a 5.702
_cell_length_b 5.702
_cell_length_c 5.702
_cell_angle_alpha 90.00
_cell_angle_beta 90.00
_cell_angle_gamma 90.00
_symmetry_space_group_name_H-M 'F m -3 m'
_symmetry_Int_Tables_number 225
_symmetry_space_group_name_Hall '-F 4 2 3'
loop_
_atom_site_label
_atom_site_type_symbol
_atom_site_fract_x
_atom_site_fract_y
_atom_site_fract_z
_atom_site_occupancy
Cd1 Cd 0.000 0.000 0.000 1
B1 B 0.250 0.250 0.250 1
C1 C 0.000 0.000 0.500 1
# D(E_F), states/eV per atom: 0.2769

=====

From most stable to least stable, the computed energies give #one, #two.

=====

#one
# CdB3C | the Alexandria database | PBE | relaxed
data_CdB3C
_cell_length_a 4.336
_cell_length_b 4.336
_cell_length_c 4.336
_cell_angle_alpha 90.00
_cell_angle_beta 90.00
_cell_angle_gamma 90.00
_symmetry_space_group_name_H-M 'P m -3 m'
_symmetry_Int_Tables_number 221
_symmetry_space_group_name_Hall '-P 4 2 3'
loop_
_atom_site_label
_atom_site_type_symbol
_atom_site_fract_x
_atom_site_fract_y
_atom_site_fract_z
_atom_site_occupancy
Cd1 Cd 0.000 0.000 0.000 1
B1 B 0.000 0.000 0.500 1
C1 C 0.500 0.500 0.500 1
# D(E_F), states/eV per atom: 0.6583

=====

#two
# CdB3C | the Alexandria database | PBE | relaxed
data_CdB3C
_cell_length_a 3.671
_cell_length_b 3.671
_cell_length_c 3.671
_cell_angle_alpha 90.00
_cell_angle_beta 90.00
_cell_angle_gamma 90.00
_symmetry_space_group_name_H-M 'P m -3 m'
_symmetry_Int_Tables_number 221
_symmetry_space_group_name_Hall '-P 4 2 3'
loop_
_atom_site_label
_atom_site_type_symbol
_atom_site_fract_x
_atom_site_fract_y
_atom_site_fract_z
_atom_site_occupancy
Cd1 Cd 0.000 0.000 0.000 1
B1 B 0.000 0.500 0.500 1
C1 C 0.500 0.500 0.500 1
# D(E_F), states/eV per atom: 0.4806

=====

From most stable to least stable, the computed energies give #two, #one.